Material: CaHgPb
Method: DFT, GGA-PBEsol
State: relaxed

```
6
Lattice="-4.7987 0.0008 -1.5678 1.0514 -0.5251 4.9097 -0.2688 7.1870 0.8262" Properties=species:S:1:pos:R:3 pbc="T T T"
Pb -0.9658 1.4470 2.9571
Pb -3.0503 5.2158 1.2110
Ca 0.0000 0.0000 0.0000
Ca -0.1344 3.5935 0.4131
Hg -1.1002 5.0405 3.3702
Hg -2.9159 1.6223 0.7979
```

Results
- total DFT energy (no corrections) (eV per cell) = -15.85
- formation enthalpy at 0 K (eV/atom) = -0.4088